Entry 1:
## MnOsBr2 (PBEsol)

Data for an optimized crystal structure of MnOsBr2.

abc: 3.271 5.210 5.210
angles: 108.99 106.57 106.57
Last column: magnetic moment on the atom in μB.
Fractional coordinates of all 4 atoms:
Br1 0.000 0.500 0.000  0.07
Br2 0.000 0.000 0.500  0.07
Mn1 0.000 0.000 0.000  3.93
Os1 0.000 0.500 0.500  0.54

offset from the most stable computed form: 531 meV/atom
density of states at the Fermi level: 4.1 states/eV/f.u.
crystal system: monoclinic
raw formation energy: 1.021 eV per atom

Entry 2:
## AlWAu2 (PBEsol)

Data for an optimized crystal structure of AlWAu2.

abc: 2.773 4.889 5.029
angles: 100.29 90.00 106.48
Fractional coordinates of all 4 atoms:
Au1 0.747 0.494 0.752
Au2 0.253 0.506 0.248
Al1 0.000 0.000 0.500
W1 0.500 0.000 0.000

density of states at the Fermi level: 2.8 states/eV/f.u.
crystal system: monoclinic
E_form: 0.172 eV per atom

Entry 3:
## MnCo3 (PBEsol)

Data for an optimized crystal structure of MnCo3.

abc: 2.428 2.428 8.057
angles: 81.32 81.32 60.01
Last column: magnetic moment on the atom in μB.
Fractional coordinates of all 4 atoms:
Mn1 0.000 0.000 0.000  -0.62
Co1 0.250 0.250 0.248  0.90
Co2 0.500 0.500 0.500  1.42
Co3 0.750 0.750 0.752  0.90

density of states at the Fermi level: 6.5 states/eV/f.u.
crystal system: trigonal
E_form: 0.073 eV per atom

Entry 4:
## NaAl2CuBr (PBEsol)

Data for an optimized crystal structure of NaAl2CuBr.

abc: 4.515 4.515 5.840
angles: 90.00 90.00 90.00
Fractional coordinates of all 5 atoms:
Na1 0.000 0.000 0.500
Cu1 0.000 0.000 0.000
Br1 0.500 0.500 0.500
Al1 0.000 0.500 0.000
Al2 0.500 0.000 0.000

density of states at the Fermi level: 3.1 states/eV/f.u.
crystal system: tetragonal
raw formation energy: -0.053 eV per atom